(1)
DFT (PBE) results for crystalline RbCdFe2Cl8 at its relaxed geometry.

Values from the calculation:
Magnetization = 18.00 Bohr magnetons per cell

a = 10.619 Å, b = 7.322 Å, c = 9.682 Å
α = 90.00°, β = 96.76°, γ = 90.00°
Space group C2/m (No. 12)
One atom of each set of equivalent atoms:
1 Rb 0.000 0.000 0.000 [2 per cell]
2 Cd 0.000 0.000 0.500 [2 per cell]
3 Fe 0.116 0.500 0.290 [4 per cell]
4 Cl 0.013 0.251 0.705 [8 per cell]
5 Cl 0.192 0.500 0.088 [4 per cell]
6 Cl 0.250 0.000 0.513 [4 per cell]

(2)
DFT (PBE) results for crystalline RbCdFeCl5 at its relaxed geometry.

Values from the calculation:
Magnetization = 16.00 Bohr magnetons per cell

a = 9.000 Å, b = 12.078 Å, c = 9.500 Å
α = 90.00°, β = 112.56°, γ = 90.00°
Space group C2/c (No. 15)
One atom of each set of equivalent atoms:
1 Rb 0.000 0.154 0.250 [4 per cell]
2 Cd 0.000 0.500 0.000 [4 per cell]
3 Fe 0.000 0.188 0.750 [4 per cell]
4 Cl 0.000 0.423 0.250 [4 per cell]
5 Cl 0.109 0.296 0.614 [8 per cell]
6 Cl 0.183 0.076 0.930 [8 per cell]

(3)
DFT (PBE) results for crystalline Rb3Cd2FeCl9 at its relaxed geometry.

Values from the calculation:
Magnetization = 4.01 Bohr magnetons per cell

a = 7.3289 Å, b = 7.3289 Å, c = 8.9785 Å
α = 90.00°, β = 90.00°, γ = 120.00°
Space group P-3m1 (No. 164)
One atom of each set of equivalent atoms:
1 Rb 0.0000 0.0000 0.0000 [1 per cell]
2 Rb 0.3333 0.6667 0.6671 [2 per cell]
3 Cd 0.3333 0.6667 0.1756 [2 per cell]
4 Fe 0.0000 0.0000 0.5000 [1 per cell]
5 Cl 0.0000 0.5000 0.0000 [3 per cell]
6 Cl 0.1605 0.3209 0.3412 [6 per cell]

(4)
DFT (PBE) results for crystalline Rb3CdFe2Cl9 at its relaxed geometry.

Values from the calculation:
Magnetization = 8.00 Bohr magnetons per cell

a = 7.1747 Å, b = 7.1747 Å, c = 8.7993 Å
α = 90.00°, β = 90.00°, γ = 120.00°
Space group P-3m1 (No. 164)
One atom of each set of equivalent atoms:
1 Rb 0.0000 0.0000 0.0000 [1 per cell]
2 Rb 0.3333 0.6667 0.6623 [2 per cell]
3 Cd 0.0000 0.0000 0.5000 [1 per cell]
4 Fe 0.3333 0.6667 0.1514 [2 per cell]
5 Cl 0.0000 0.5000 0.0000 [3 per cell]
6 Cl 0.1725 0.3449 0.3238 [6 per cell]

(5)
DFT (PBE) results for crystalline Rb2CdFeCl6 at its relaxed geometry.

Values from the calculation:
Magnetization = 12.00 Bohr magnetons per cell

a = 7.2783 Å, b = 7.2783 Å, c = 17.6410 Å
α = 90.00°, β = 90.00°, γ = 120.00°
Space group R-3 (No. 148, hexagonal axes)
One atom of each set of equivalent atoms:
1 Rb 0.0000 0.0000 0.2501 [6 per cell]
2 Cd 0.0000 0.0000 0.0000 [3 per cell]
3 Fe 0.0000 0.0000 0.5000 [3 per cell]
4 Cl 0.0124 0.4701 0.2476 [18 per cell]

(6)
DFT (PBE) results for crystalline Cd2FeRhCl at its relaxed geometry.

Values from the calculation:
Magnetization = 2.64 Bohr magnetons per cell

a = 5.139 Å, b = 5.139 Å, c = 4.061 Å
α = 90.00°, β = 90.00°, γ = 90.00°
Space group P4/mmm (No. 123)
One atom of each set of equivalent atoms:
1 Cd 0.000 0.500 0.000 [2 per cell]
2 Fe 0.000 0.000 0.500 [1 per cell]
3 Rh 0.500 0.500 0.500 [1 per cell]
4 Cl 0.000 0.000 0.000 [1 per cell]

(7)
DFT (PBE) results for crystalline Tl2CdFeCl6 at its relaxed geometry.

Values from the calculation:
Magnetization = 4.00 Bohr magnetons per cell

a = 6.904 Å, b = 6.904 Å, c = 6.091 Å
α = 90.00°, β = 90.00°, γ = 90.00°
Space group P4mm (No. 99)
One atom of each set of equivalent atoms:
1 Tl 0.000 0.500 0.000 [2 per cell]
2 Cd 0.000 0.000 0.527 [1 per cell]
3 Fe 0.500 0.500 0.531 [1 per cell]
4 Cl 0.000 0.000 0.119 [1 per cell]
5 Cl 0.260 0.260 0.651 [4 per cell]
6 Cl 0.500 0.500 0.162 [1 per cell]

(8)
DFT (PBE) results for crystalline TlCdFe2Cl8 at its relaxed geometry.

Values from the calculation:
Magnetization = 18.00 Bohr magnetons per cell

a = 10.570 Å, b = 7.353 Å, c = 9.427 Å
α = 90.00°, β = 94.96°, γ = 90.00°
Space group C2/m (No. 12)
One atom of each set of equivalent atoms:
1 Tl 0.000 0.000 0.000 [2 per cell]
2 Cd 0.000 0.000 0.500 [2 per cell]
3 Fe 0.121 0.500 0.283 [4 per cell]
4 Cl 0.007 0.251 0.710 [8 per cell]
5 Cl 0.203 0.500 0.076 [4 per cell]
6 Cl 0.250 0.000 0.514 [4 per cell]

(9)
DFT (PBE) results for crystalline ZnCdFe2Cl at its relaxed geometry.

Values from the calculation:
Magnetization = 6.81 Bohr magnetons per cell

a = 4.702 Å, b = 4.702 Å, c = 5.099 Å
α = 90.00°, β = 90.00°, γ = 90.00°
Space group P4/mmm (No. 123)
One atom of each set of equivalent atoms:
1 Zn 0.000 0.000 0.000 [1 per cell]
2 Cd 0.000 0.000 0.500 [1 per cell]
3 Fe 0.000 0.500 0.000 [2 per cell]
4 Cl 0.500 0.500 0.500 [1 per cell]

(10)
DFT (PBE) results for crystalline ZrCd2FeCl at its relaxed geometry.

Values from the calculation:
Magnetization = 2.52 Bohr magnetons per cell

a = 5.731 Å, b = 5.731 Å, c = 4.846 Å
α = 90.00°, β = 90.00°, γ = 90.00°
Space group P4/mmm (No. 123)
One atom of each set of equivalent atoms:
1 Zr 0.000 0.000 0.000 [1 per cell]
2 Cd 0.000 0.500 0.000 [2 per cell]
3 Fe 0.500 0.500 0.500 [1 per cell]
4 Cl 0.000 0.000 0.500 [1 per cell]

(11)
DFT (PBE) results for crystalline CdGa2Cl8 at its relaxed geometry.

Values from the calculation:
Magnetization = 0.29 Bohr magnetons per cell

a = 7.247 Å, b = 7.222 Å, c = 13.354 Å
α = 90.00°, β = 92.04°, γ = 90.00°
Space group Pc (No. 7)
One atom of each set of equivalent atoms:
1 Cd 0.000 0.229 0.000 [2 per cell]
2 Ga 0.144 0.064 0.238 [2 per cell]
3 Ga 0.556 0.400 0.037 [2 per cell]
4 Cl 0.036 0.343 0.195 [2 per cell]
5 Cl 0.155 0.066 0.585 [2 per cell]
6 Cl 0.299 0.406 0.938 [2 per cell]
7 Cl 0.402 0.071 0.320 [2 per cell]
8 Cl 0.519 0.457 0.676 [2 per cell]
9 Cl 0.656 0.109 0.052 [2 per cell]
10 Cl 0.788 0.477 0.451 [2 per cell]
11 Cl 0.923 0.087 0.818 [2 per cell]

(12)
DFT (PBE) results for crystalline CdGaCl3 at its relaxed geometry.

Values from the calculation:
Magnetization = 0.00 Bohr magnetons per cell

a = 4.343 Å, b = 8.028 Å, c = 8.948 Å
α = 90.00°, β = 90.00°, γ = 90.00°
Space group Pmc2_1 (No. 26)
One atom of each set of equivalent atoms:
1 Cd 0.000 0.190 0.000 [2 per cell]
2 Ga 0.500 0.360 0.463 [2 per cell]
3 Cl 0.000 0.111 0.455 [2 per cell]
4 Cl 0.000 0.420 0.816 [2 per cell]
5 Cl 0.500 0.250 0.146 [2 per cell]

(13)
DFT (PBE) results for crystalline CdGaCl2 at its relaxed geometry.

Values from the calculation:
Magnetization = 0.00 Bohr magnetons per cell

a = 7.267 Å, b = 7.267 Å, c = 7.267 Å
α = 90.00°, β = 90.00°, γ = 90.00°
Space group Fm-3m (No. 225)
One atom of each set of equivalent atoms:
1 Cd 0.000 0.000 0.000 [4 per cell]
2 Ga 0.000 0.000 0.500 [4 per cell]
3 Cl 0.250 0.250 0.250 [8 per cell]

(14)
DFT (PBE) results for crystalline CdGa2Cl8 at its relaxed geometry.

Values from the calculation:
Magnetization = 0.64 Bohr magnetons per cell

a = 17.852 Å, b = 8.793 Å, c = 11.899 Å
α = 90.00°, β = 128.56°, γ = 90.00°
Space group C2/c (No. 15)
One atom of each set of equivalent atoms:
1 Cd 0.000 0.001 0.250 [4 per cell]
2 Ga 0.087 0.247 0.539 [8 per cell]
3 Cl 0.063 0.218 0.163 [8 per cell]
4 Cl 0.092 0.224 0.730 [8 per cell]
5 Cl 0.153 0.457 0.553 [8 per cell]
6 Cl 0.156 0.042 0.522 [8 per cell]

(15)
DFT (PBE) results for crystalline CdGa2Cl5 at its relaxed geometry.

Values from the calculation:
Magnetization = 0.00 Bohr magnetons per cell

a = 4.300 Å, b = 16.905 Å, c = 15.225 Å
α = 90.00°, β = 90.00°, γ = 90.00°
Space group Cmcm (No. 63)
One atom of each set of equivalent atoms:
1 Cd 0.000 0.128 0.250 [4 per cell]
2 Ga 0.000 0.096 0.664 [8 per cell]
3 Cl 0.000 0.043 0.116 [8 per cell]
4 Cl 0.000 0.292 0.750 [4 per cell]
5 Cl 0.000 0.362 0.103 [8 per cell]

(16)
DFT (PBE) results for crystalline CdGaCl3 at its relaxed geometry.

Values from the calculation:
Magnetization = 0.00 Bohr magnetons per cell

a = 17.099 Å, b = 3.959 Å, c = 9.702 Å
α = 90.00°, β = 115.39°, γ = 90.00°
Space group C2/m (No. 12)
One atom of each set of equivalent atoms:
1 Cd 0.164 0.000 0.311 [4 per cell]
2 Ga 0.136 0.500 0.822 [4 per cell]
3 Cl 0.056 0.500 0.256 [4 per cell]
4 Cl 0.166 0.000 0.037 [4 per cell]
5 Cl 0.212 0.000 0.615 [4 per cell]

(17)
DFT (PBE) results for crystalline CdGa2Cl8 at its relaxed geometry.

Values from the calculation:
Magnetization = 0.46 Bohr magnetons per cell

a = 12.259 Å, b = 9.612 Å, c = 6.198 Å
α = 90.00°, β = 96.83°, γ = 90.00°
Space group C2/m (No. 12)
One atom of each set of equivalent atoms:
1 Cd 0.000 0.000 0.000 [2 per cell]
2 Ga 0.200 0.000 0.652 [4 per cell]
3 Cl 0.104 0.178 0.769 [8 per cell]
4 Cl 0.129 0.500 0.221 [4 per cell]
5 Cl 0.187 0.000 0.291 [4 per cell]

(18)
DFT (PBE) results for crystalline CdGa3Cl12 at its relaxed geometry.

Values from the calculation:
Magnetization = 7.00 Bohr magnetons per cell

a = 11.6418 Å, b = 11.6418 Å, c = 29.8743 Å
α = 90.00°, β = 90.00°, γ = 120.00°
Space group R3c (No. 161, hexagonal axes)
One atom of each set of equivalent atoms:
1 Cd 0.0000 0.0000 0.0000 [6 per cell]
2 Ga 0.1071 0.3861 0.0551 [18 per cell]
3 Cl 0.1582 0.3601 0.3815 [18 per cell]
4 Cl 0.1680 0.4883 0.7294 [18 per cell]
5 Cl 0.1954 0.4438 0.5004 [18 per cell]
6 Cl 0.2161 0.4405 0.1210 [18 per cell]

(19)
DFT (PBE) results for crystalline CdGaCl4 at its relaxed geometry.

Values from the calculation:
Magnetization = 1.05 Bohr magnetons per cell

a = 14.403 Å, b = 3.912 Å, c = 6.672 Å
α = 90.00°, β = 116.35°, γ = 90.00°
Space group C2/m (No. 12)
One atom of each set of equivalent atoms:
1 Cd 0.000 0.000 0.000 [2 per cell]
2 Ga 0.000 0.500 0.500 [2 per cell]
3 Cl 0.110 0.000 0.445 [4 per cell]
4 Cl 0.112 0.500 0.941 [4 per cell]

Number 1: formation energy (no corrections) -1.054 eV/atom. Number 2: formation energy (no corrections) -1.165 eV/atom. Number 3: formation energy (no corrections) -1.352 eV/atom. Number 4: formation energy (no corrections) -1.266 eV/atom. Number 5: formation energy (no corrections) -1.310 eV/atom. Number 6: formation energy (no corrections) 0.912 eV/atom. Number 7: formation energy (no corrections) -0.910 eV/atom. Number 8: formation energy (no corrections) -0.885 eV/atom. Number 9: formation energy (no corrections) 0.878 eV/atom. Number 10: formation energy (no corrections) 0.802 eV/atom. Number 11: formation energy (no corrections) -1.117 eV/atom. Number 12: formation energy (no corrections) -0.892 eV/atom. Number 13: formation energy (no corrections) -0.454 eV/atom. Number 14: formation energy (no corrections) -1.120 eV/atom. Number 15: formation energy (no corrections) -0.872 eV/atom. Number 16: formation energy (no corrections) -0.922 eV/atom. Number 17: formation energy (no corrections) -1.115 eV/atom. Number 18: formation energy (no corrections) -0.968 eV/atom. Number 19: formation energy (no corrections) -0.888 eV/atom.